[1]
DFT (PBE) results for a relaxed structure of Be2VCo5Mo2.

abc: 2.8456 8.8380 8.8380
angles: 90.00 90.00 90.00
Sites, in units of the cell vectors:
Be  0.0000  0.1230  0.6230
Be  0.0000  0.8770  0.3770
Be  0.0000  0.6230  0.8770
Be  0.0000  0.3770  0.1230
V  0.0000  0.0000  0.0000
V  0.0000  0.5000  0.5000
Co  0.5000  0.2056  0.0616
Co  0.5000  0.7944  0.9384
Co  0.5000  0.0616  0.7944
Co  0.5000  0.7056  0.4384
Co  0.5000  0.9384  0.2056
Co  0.5000  0.2944  0.5616
Co  0.5000  0.5616  0.7056
Co  0.5000  0.4384  0.2944
Co  0.5000  0.5000  0.0000
Co  0.5000  0.0000  0.5000
Mo  0.0000  0.6765  0.1765
Mo  0.0000  0.3235  0.8235
Mo  0.0000  0.1765  0.3235
Mo  0.0000  0.8235  0.6765

- space-group type = No. 127
- formation energy from the elements (eV/atom) = -0.109

***

[2]
DFT (PBE) results for a relaxed structure of Be2V2Co5Mo.

abc: 3.3120 8.1480 8.1480
angles: 90.00 90.00 90.00
Sites, in units of the cell vectors:
Be  0.0000  0.1182  0.6182
Be  0.0000  0.8818  0.3818
Be  0.0000  0.6182  0.8818
Be  0.0000  0.3818  0.1182
V  0.0000  0.6753  0.1753
V  0.0000  0.3247  0.8247
V  0.0000  0.1753  0.3247
V  0.0000  0.8247  0.6753
Co  0.5000  0.2114  0.0721
Co  0.5000  0.7886  0.9279
Co  0.5000  0.0721  0.7886
Co  0.5000  0.7114  0.4279
Co  0.5000  0.9279  0.2114
Co  0.5000  0.2886  0.5721
Co  0.5000  0.5721  0.7114
Co  0.5000  0.4279  0.2886
Co  0.5000  0.5000  0.0000
Co  0.5000  0.0000  0.5000
Mo  0.0000  0.0000  0.0000
Mo  0.0000  0.5000  0.5000

- space-group type = No. 127
- formation energy from the elements (eV/atom) = -0.103

***

[3]
DFT (PBE) results for a relaxed structure of BeCo2N.

abc: 4.8198 4.8198 5.1157
angles: 61.90 61.90 90.00
Sites, in units of the cell vectors:
Be  0.5000  0.5000  0.0000
Be  0.2500  0.7500  0.5000
Co  0.6935  0.1250  0.2500
Co  0.0565  0.6250  0.2500
Co  0.3750  0.3065  0.7500
Co  0.8750  0.9435  0.7500
N  0.0000  0.0000  0.0000
N  0.7500  0.2500  0.5000

- space-group type = No. 122
- uncorrected formation energy (eV/atom) = 0.39
- polymorph energy (0 for the lowest one) (meV/atom) = 46.0

***

[4]
DFT (PBE) results for a relaxed structure of BeCo3N.

abc: 3.6613 3.6613 3.6613
angles: 90.00 90.00 90.00
Sites, in units of the cell vectors:
Be  0.5000  0.5000  0.5000
Co  0.0000  0.5000  0.0000
Co  0.0000  0.0000  0.5000
Co  0.5000  0.0000  0.0000
N  0.0000  0.0000  0.0000

- space-group type = No. 221
- uncorrected formation energy (eV/atom) = -0.04
- polymorph energy (0 for the lowest one) (meV/atom) = 0.0

***

[5]
DFT (PBE) results for a relaxed structure of Be3CoN.

abc: 3.4490 3.4490 3.4490
angles: 90.00 90.00 90.00
Sites, in units of the cell vectors:
Be  0.0000  0.5000  0.0000
Be  0.0000  0.0000  0.5000
Be  0.5000  0.0000  0.0000
Co  0.5000  0.5000  0.5000
N  0.0000  0.0000  0.0000

- space-group type = No. 221
- uncorrected formation energy (eV/atom) = -0.02
- polymorph energy (0 for the lowest one) (meV/atom) = 0.0

***

[6]
DFT (PBE) results for a relaxed structure of Be3CoN.

abc: 3.8503 3.8503 3.8503
angles: 90.00 90.00 90.00
Sites, in units of the cell vectors:
Be  0.0000  0.5000  0.0000
Be  0.0000  0.0000  0.5000
Be  0.5000  0.0000  0.0000
Co  0.0000  0.0000  0.0000
N  0.5000  0.5000  0.5000

- space-group type = No. 221
- uncorrected formation energy (eV/atom) = 1.55
- polymorph energy (0 for the lowest one) (meV/atom) = 1574.3

***

[7]
DFT (PBE) results for a relaxed structure of BeCoN2.

abc: 5.3692 5.3692 5.3692
angles: 31.11 31.11 31.11
Sites, in units of the cell vectors:
Be  0.0000  0.0000  0.0000
Co  0.5000  0.5000  0.5000
N  0.8995  0.8995  0.8995
N  0.1005  0.1005  0.1005

- space-group type = No. 166
- uncorrected formation energy (eV/atom) = 0.21

***

[8]
DFT (PBE) results for a relaxed structure of BeCo2N.

abc: 2.6985 2.6985 6.5439
angles: 78.10 78.10 60.00
Sites, in units of the cell vectors:
Be  0.0000  0.0000  0.0000
Co  0.1100  0.1100  0.6701
Co  0.8900  0.8900  0.3299
N  0.5000  0.5000  0.5000

- space-group type = No. 166
- uncorrected formation energy (eV/atom) = 0.34
- polymorph energy (0 for the lowest one) (meV/atom) = 0.0

***

[9]
DFT (PBE) results for a relaxed structure of Be2CoN.

abc: 5.7004 5.7004 4.4995
angles: 50.70 50.70 90.00
Sites, in units of the cell vectors:
Be  0.5133  0.1250  0.2500
Be  0.2367  0.6250  0.2500
Be  0.3750  0.4867  0.7500
Be  0.8750  0.7633  0.7500
Co  0.0000  0.0000  0.0000
Co  0.7500  0.2500  0.5000
N  0.5000  0.5000  0.0000
N  0.2500  0.7500  0.5000

- space-group type = No. 122
- uncorrected formation energy (eV/atom) = -0.11

***

[10]
DFT (PBE) results for a relaxed structure of BeCo2N.

abc: 3.6266 3.6266 3.6266
angles: 60.00 60.00 60.00
Sites, in units of the cell vectors:
Be  0.0000  0.0000  0.0000
Co  0.2500  0.2500  0.2500
Co  0.7500  0.7500  0.7500
N  0.5000  0.5000  0.5000

- space-group type = No. 225
- uncorrected formation energy (eV/atom) = 0.68
- polymorph energy (0 for the lowest one) (meV/atom) = 338.1

***

[11]
DFT (PBE) results for a relaxed structure of BeCoN2.

abc: 4.1513 4.1513 4.9703
angles: 65.32 65.32 90.00
Sites, in units of the cell vectors:
Be  0.5000  0.5000  0.0000
Be  0.2500  0.7500  0.5000
Co  0.0000  0.0000  0.0000
Co  0.7500  0.2500  0.5000
N  0.6114  0.1250  0.2500
N  0.1386  0.6250  0.2500
N  0.3750  0.3886  0.7500
N  0.8750  0.8614  0.7500

- space-group type = No. 122
- uncorrected formation energy (eV/atom) = -0.14

***

[12]
DFT (PBE) results for a relaxed structure of BeCoN2.

abc: 5.9648 5.9648 5.9648
angles: 24.78 24.78 24.78
Sites, in units of the cell vectors:
Be  0.5000  0.5000  0.5000
Co  0.0000  0.0000  0.0000
N  0.8988  0.8988  0.8988
N  0.1012  0.1012  0.1012

- space-group type = No. 166
- uncorrected formation energy (eV/atom) = 0.60

***

[13]
DFT (PBE) results for a relaxed structure of BeCoNiN2.

abc: 3.4297 4.0216 3.4297
angles: 90.00 90.00 90.00
Sites, in units of the cell vectors:
Ni  0.0000  0.5000  0.0000
Co  0.5000  0.5000  0.5000
Be  0.0000  0.0000  0.0000
N  0.0000  0.0000  0.5000
N  0.5000  0.0000  0.0000

- space-group type = No. 123
- uncorrected formation energy (eV/atom) = 1.28

***

[14]
DFT (PBE) results for a relaxed structure of PaBeCoN.

abc: 3.7025 3.7025 7.1819
angles: 90.00 90.00 90.00
Sites, in units of the cell vectors:
Pa  0.0000  0.5000  0.8098
Pa  0.5000  0.0000  0.1902
Be  0.0000  0.5000  0.3505
Be  0.5000  0.0000  0.6495
Co  0.0000  0.0000  0.5000
Co  0.5000  0.5000  0.5000
N  0.5000  0.0000  0.8778
N  0.0000  0.5000  0.1222

- space-group type = No. 129
- uncorrected formation energy (eV/atom) = -0.85

***

[15]
DFT (PBE) results for a relaxed structure of PmBeCoN.

abc: 3.5854 3.5854 8.2731
angles: 90.00 90.00 90.00
Sites, in units of the cell vectors:
Pm  0.0000  0.5000  0.8416
Pm  0.5000  0.0000  0.1584
Be  0.0000  0.5000  0.3323
Be  0.5000  0.0000  0.6677
Co  0.0000  0.0000  0.5000
Co  0.5000  0.5000  0.5000
N  0.5000  0.0000  0.8627
N  0.0000  0.5000  0.1373

- space-group type = No. 129
- uncorrected formation energy (eV/atom) = -0.77

***

[16]
DFT (PBE) results for a relaxed structure of PuBeCoN.

abc: 3.4925 3.4925 8.1585
angles: 90.00 90.00 90.00
Sites, in units of the cell vectors:
Pu  0.0000  0.5000  0.8423
Pu  0.5000  0.0000  0.1577
Be  0.0000  0.5000  0.3286
Be  0.5000  0.0000  0.6714
Co  0.0000  0.0000  0.5000
Co  0.5000  0.5000  0.5000
N  0.5000  0.0000  0.8729
N  0.0000  0.5000  0.1271

- space-group type = No. 129
- uncorrected formation energy (eV/atom) = -0.67

***

[17]
DFT (PBE) results for a relaxed structure of BeCoSN2.

abc: 3.3799 3.3799 7.3995
angles: 90.00 90.00 90.00
Sites, in units of the cell vectors:
Be  0.5000  0.5000  0.5000
S  0.0000  0.0000  0.5000
Co  0.0000  0.0000  0.0000
N  0.0000  0.5000  0.0000
N  0.5000  0.0000  0.0000

- space-group type = No. 123
- uncorrected formation energy (eV/atom) = 0.94
- polymorph energy (0 for the lowest one) (meV/atom) = 11.9

***

[18]
DFT (PBE) results for a relaxed structure of BeCoSN2.

abc: 3.3804 6.6641 3.3804
angles: 90.00 90.00 90.00
Sites, in units of the cell vectors:
Be  0.0000  0.5000  0.0000
S  0.5000  0.5000  0.5000
Co  0.0000  0.0000  0.0000
N  0.0000  0.0000  0.5000
N  0.5000  0.0000  0.0000

- space-group type = No. 123
- uncorrected formation energy (eV/atom) = 0.93
- polymorph energy (0 for the lowest one) (meV/atom) = 0.0

***

[19]
DFT (PBE) results for a relaxed structure of BeCoSN2.

abc: 3.2175 3.2175 6.5988
angles: 90.00 90.00 90.00
Sites, in units of the cell vectors:
Be  0.0000  0.0000  0.0000
S  0.0000  0.0000  0.5000
Co  0.5000  0.5000  0.5000
N  0.0000  0.5000  0.0000
N  0.5000  0.0000  0.0000

- space-group type = No. 123
- uncorrected formation energy (eV/atom) = 1.07
- polymorph energy (0 for the lowest one) (meV/atom) = 138.6

***

[20]
DFT (PBE) results for a relaxed structure of TbBeCoN.

abc: 3.4893 3.4893 8.2698
angles: 90.00 90.00 90.00
Sites, in units of the cell vectors:
Tb  0.0000  0.5000  0.8469
Tb  0.5000  0.0000  0.1531
Be  0.0000  0.5000  0.3277
Be  0.5000  0.0000  0.6723
Co  0.0000  0.0000  0.5000
Co  0.5000  0.5000  0.5000
N  0.5000  0.0000  0.8674
N  0.0000  0.5000  0.1326

- space-group type = No. 129
- uncorrected formation energy (eV/atom) = -0.87

***

Values for magnetization, μB per atom, ordered as above
0.387, 0.000, 0.000, 0.510, 0.029, 0.000, 0.228, 0.000, 0.000, 0.317, 0.000, 0.137, 0.591, 0.000, 0.218, 1.452, 0.027, 0.000, 0.486, 0.248
Values for V, Å³ per atom, ordered as above
11.1, 11.0, 11.1, 9.8, 8.2, 11.4, 9.2, 10.0, 8.1, 8.4, 8.6, 8.2, 9.5, 12.3, 13.3, 12.4, 16.9, 15.2, 13.7, 12.6